Record 1
Crystalline CdTeMo2 at its relaxed geometry. Source: Alexandria via LeMat-Bulk, functional PBE.

Cell: 4.7542 4.7542 5.3912 Å, 100.41 100.41 38.80°
Last column: nearest neighbours and their distance in Å.
Fractional positions:
1 Cd 0.0000 0.0000 0.0000  6 Mo 2.82-2.90, 4 Te 3.12, 2 Cd 3.16
2 Te 0.5000 0.5000 0.5000  6 Mo 2.82-2.84, 4 Cd 3.12
3 Mo 0.2454 0.2454 0.7409  3 Te 2.82-2.84, 3 Cd 2.82-2.90, 2 Mo 3.05
4 Mo 0.7546 0.7546 0.2591  3 Te 2.82-2.84, 3 Cd 2.82-2.90, 2 Mo 3.05

Output
energy relative to the elements, uncorrected: 0.610 eV/atom
total DFT energy (no corrections): -5.820 eV/atom
E above lowest polymorph: 0.366 eV per atom

Record 2
Crystalline Fe2Ag2Pd7 at its relaxed geometry. Source: Alexandria via LeMat-Bulk, functional PBE.

Cell: 5.4814 5.4814 7.1595 Å, 95.77 95.77 122.80°
Last column: nearest neighbours and their distance in Å.
Fractional positions:
1 Fe 0.2453 0.7547 0.0000  6 Pd 2.51-2.79, 2 Fe 2.63
2 Fe 0.7547 0.2453 0.0000  6 Pd 2.51-2.79, 2 Fe 2.63
3 Ag 0.0851 0.0851 0.7003  7 Pd 2.69-2.98, 1 Ag 2.82
4 Ag 0.9149 0.9149 0.2997  7 Pd 2.69-2.98, 1 Ag 2.82
5 Pd 0.0763 0.5327 0.3211  2 Fe 2.51-2.72, 5 Pd 2.64-2.77, 1 Ag 2.69
6 Pd 0.2992 0.2992 0.0884  4 Pd 2.68-2.91, 2 Ag 2.76-2.77, 4 Fe 2.79-2.83
7 Pd 0.4673 0.9237 0.6789  2 Fe 2.51-2.72, 5 Pd 2.64-2.77, 1 Ag 2.69
8 Pd 0.5000 0.5000 0.5000  6 Pd 2.64-2.91, 2 Ag 2.85
9 Pd 0.5327 0.0763 0.3211  2 Fe 2.51-2.72, 5 Pd 2.64-2.77, 1 Ag 2.69
10 Pd 0.7008 0.7008 0.9116  4 Pd 2.68-2.91, 2 Ag 2.76-2.77, 4 Fe 2.79-2.83
11 Pd 0.9237 0.4673 0.6789  2 Fe 2.51-2.72, 5 Pd 2.64-2.77, 1 Ag 2.69

Output
formation enthalpy at 0 K: 0.11 eV per atom
total DFT energy (no corrections): -5.255 eV/atom

Record 3
Crystalline CsMgNb2 at its relaxed geometry. Source: Alexandria via LeMat-Bulk, functional PBE.

Cell: 11.7686 11.7686 11.7686 Å, 157.52 157.52 32.00°
Last column: nearest neighbours and their distance in Å.
Fractional positions:
1 Cs 0.0000 0.0000 0.0000  4 Mg 3.24, 4 Nb 3.53
2 Cs 0.7500 0.2500 0.5000  4 Mg 3.24, 4 Nb 3.53
3 Mg 0.2500 0.7500 0.5000  4 Nb 3.09, 4 Cs 3.24
4 Mg 0.5000 0.5000 0.0000  4 Nb 3.09, 4 Cs 3.24
5 Nb 0.2635 0.6250 0.1385  2 Nb 2.51
6 Nb 0.3750 0.5135 0.6385  2 Nb 2.51
7 Nb 0.4865 0.1250 0.8615  2 Nb 2.51
8 Nb 0.8750 0.7365 0.3615  2 Nb 2.51

Output
formation enthalpy at 0 K: 1.46 eV per atom
total DFT energy (no corrections): -4.187 eV/atom

Record 4
Crystalline PAu2 at its relaxed geometry. Source: Alexandria via LeMat-Bulk, functional PBE.

Cell: 4.6543 4.6543 5.5802 Å, 90.00 90.00 120.00°
Last column: nearest neighbours and their distance in Å.
Fractional positions:
1 P 0.3333 0.6667 0.2500  5 Au 2.69-2.79
2 P 0.6667 0.3333 0.7500  5 Au 2.69-2.79
3 Au 0.0000 0.0000 0.0000  8 Au 2.79-3.03, 6 P 3.03
4 Au 0.0000 0.0000 0.5000  8 Au 2.79-3.03, 6 P 3.03
5 Au 0.3333 0.6667 0.7500  5 P 2.69-2.79
6 Au 0.6667 0.3333 0.2500  5 P 2.69-2.79

Output
formation enthalpy at 0 K: 0.39 eV per atom
total DFT energy (no corrections): -3.600 eV/atom

Record 5
Crystalline MnCoW2 at its relaxed geometry. Source: Alexandria via LeMat-Bulk, functional PBE.

Cell: 4.6112 4.6112 4.6112 Å, 131.20 131.20 71.49°
Last column: nearest neighbours and their distance in Å.
Fractional positions:
1 Mn 0.0000 0.0000 0.0000  8 W 2.67, 4 Co 2.69
2 Co 0.5000 0.5000 0.0000  8 W 2.67, 4 Mn 2.69
3 W 0.2500 0.7500 0.5000  4 Mn 2.67, 4 Co 2.67, 4 W 2.69
4 W 0.7500 0.2500 0.5000  4 Mn 2.67, 4 Co 2.67, 4 W 2.69

Output
formation enthalpy at 0 K: 0.14 eV per atom
total DFT energy (no corrections): -10.406 eV/atom
E above lowest polymorph: 0.009 eV per atom

Record 6
Crystalline PaAgN2 at its relaxed geometry. Source: Alexandria via LeMat-Bulk, functional PBE.

Cell: 5.6903 5.6903 5.6903 Å, 37.04 37.04 37.04°
Last column: nearest neighbours and their distance in Å.
Fractional positions:
1 Pa 0.0000 0.0000 0.0000  6 N 2.31
2 Ag 0.5000 0.5000 0.5000  6 N 2.67
3 N 0.2712 0.2712 0.2712  3 Pa 2.31
4 N 0.7288 0.7288 0.7288  3 Pa 2.31

Output
energy relative to the elements, uncorrected: -0.812 eV/atom
total DFT energy (no corrections): -8.061 eV/atom
E above lowest polymorph: 0.000 eV per atom